Record 1
Material: CdPHO3
Method: DFT, meta-GGA SCAN
State: PBEsol geometry Values from VASP.

Quantum ESPRESSO input file:
```
&SYSTEM
  ibrav = 0, nat = 36, ntyp = 4
/
ATOMIC_SPECIES
Cd 112.41 Cd.upf
P 30.97 P.upf
H 1.01 H.upf
O 16.00 O.upf
ATOMIC_POSITIONS crystal
Cd 0.1411 0.3148 0.8216
Cd 0.8216 0.1411 0.3148
Cd 0.3148 0.8216 0.1411
Cd 0.8589 0.6852 0.1784
Cd 0.1784 0.8589 0.6852
Cd 0.6852 0.1784 0.8589
P 0.4747 0.2660 0.1220
P 0.1220 0.4747 0.2660
P 0.2660 0.1220 0.4747
P 0.5253 0.7340 0.8780
P 0.8780 0.5253 0.7340
P 0.7340 0.8780 0.5253
H 0.4752 0.4088 0.2740
H 0.2740 0.4752 0.4088
H 0.4088 0.2740 0.4752
H 0.5248 0.5912 0.7260
H 0.7260 0.5248 0.5912
H 0.5912 0.7260 0.5248
O 0.2682 0.1546 0.9428
O 0.9428 0.2682 0.1546
O 0.1546 0.9428 0.2682
O 0.7318 0.8454 0.0572
O 0.0572 0.7318 0.8454
O 0.8454 0.0572 0.7318
O 0.6339 0.3775 0.0849
O 0.0849 0.6339 0.3775
O 0.3775 0.0849 0.6339
O 0.3661 0.6225 0.9151
O 0.9151 0.3661 0.6225
O 0.6225 0.9151 0.3661
O 0.5193 0.1277 0.1917
O 0.1917 0.5193 0.1277
O 0.1277 0.1917 0.5193
O 0.4807 0.8723 0.8083
O 0.8083 0.4807 0.8723
O 0.8723 0.8083 0.4807
CELL_PARAMETERS angstrom
-2.9367 -4.7422 6.1673
7.7949 2.2923 1.7705
-4.7536 6.7812 -0.7532
```

Summary:
- SG: R-3, No. 148
- E: -439.40 eV/cell
- Magnetic moment: 0.00 μB per formula unit
- Calculated density: 4.30 g/cm³

=====

Record 2
Material: Nb2Rh2S
Method: DFT, meta-GGA SCAN
State: PBEsol geometry Values from VASP.

Quantum ESPRESSO input file:
```
&SYSTEM
  ibrav = 0, nat = 5, ntyp = 3
/
ATOMIC_SPECIES
Nb 92.91 Nb.upf
Rh 102.91 Rh.upf
S 32.06 S.upf
ATOMIC_POSITIONS crystal
Nb 0.5000 0.5000 0.5000
Nb 0.0000 0.0000 0.5000
Rh 0.0000 0.5000 0.0000
Rh 0.5000 0.0000 0.0000
S 0.0000 0.0000 0.0000
CELL_PARAMETERS angstrom
-2.2574 -0.4386 -3.6192
1.9285 -3.7562 -0.7477
-3.2630 -2.1318 2.2935
```

Summary:
- SG: P4/mmm, No. 123
- Magnetic moment: 0.56 μB per formula unit
- Formation energy (no corrections): 0.0628 eV per atom
- Calculated density: 8.46 g/cm³

=====

Record 3
Material: TiTcAgRh2
Method: DFT, meta-GGA SCAN
State: PBEsol geometry Values from VASP.

Quantum ESPRESSO input file:
```
&SYSTEM
  ibrav = 0, nat = 5, ntyp = 4
/
ATOMIC_SPECIES
Rh 102.91 Rh.upf
Tc 98.00 Tc.upf
Ag 107.87 Ag.upf
Ti 47.87 Ti.upf
ATOMIC_POSITIONS crystal
Rh 0.0000 0.0000 0.5000
Rh 0.0000 0.5000 0.0000
Tc 0.5000 0.0000 0.0000
Ag 0.0000 0.0000 0.0000
Ti 0.5000 0.5000 0.5000
CELL_PARAMETERS angstrom
4.6284 0.0000 0.0000
0.0000 4.6579 0.0000
0.0000 0.0000 4.6579
```

Summary:
- SG: P4/mmm, No. 123
- E: -140.92 eV/cell
- Magnetic moment: 2.40 μB per formula unit
- Calculated density: 7.60 g/cm³